Here is an optimized crystal structure of Mn4Cr5 from the Alexandria database. Energies are from PBE.

abc: 6.1596 6.1596 6.1596
angles: 93.04 93.04 153.39
Sites, in units of the cell vectors:
1 Mn 0.0000 0.3316 0.3316
2 Mn 0.0000 0.6684 0.6684
3 Mn 0.3316 0.0000 0.3316
4 Mn 0.6684 0.0000 0.6684
5 Cr 0.0000 0.0000 0.0000
6 Cr 0.3319 0.3319 0.6638
7 Cr 0.3319 0.6681 0.0000
8 Cr 0.6681 0.3319 0.0000
9 Cr 0.6681 0.6681 0.3362

- E_form: 0.0588 eV/atom
- SG: I4/mmm